1.
This record from the Alexandria database describes crystalline CeNdSc at its relaxed geometry. The functional is PBE.

## Properties
As for the size of the total moment: 0.44 μB per formula unit. The value obtained for the formation energy is 97 meV/atom.

Geometry as extended XYZ:
```
3
Lattice="3.456 0.000 0.000 -1.728 2.993 0.000 0.000 0.000 8.446" Properties=species:S:1:pos:R:3 pbc="T T T"
Ce 0.000 0.000 0.000
Nd 1.728 0.998 2.943
Sc 0.000 1.995 5.786
```

=====

2.
This record from the Alexandria database describes crystalline Ce2NdSc at its relaxed geometry. The functional is PBE.

## Properties
As for the size of the total moment: 1.84 μB per formula unit. The value obtained for the formation energy is 254 meV/atom.

Geometry as extended XYZ:
```
4
Lattice="0.000 3.932 3.932 3.932 0.000 3.932 3.932 3.932 0.000" Properties=species:S:1:pos:R:3 pbc="T T T"
Ce 1.966 1.966 1.966
Ce 5.898 5.898 5.898
Nd 0.000 0.000 0.000
Sc 3.932 3.932 3.932
```

=====

3.
This record from the Alexandria database describes crystalline CeNd2Sc at its relaxed geometry. The functional is PBE.

## Properties
As for the size of the total moment: 2.87 μB per formula unit. The value obtained for the formation energy is 198 meV/atom.

Geometry as extended XYZ:
```
4
Lattice="0.000 3.984 3.984 3.984 0.000 3.984 3.984 3.984 0.000" Properties=species:S:1:pos:R:3 pbc="T T T"
Ce 0.000 0.000 0.000
Nd 1.992 1.992 1.992
Nd 5.976 5.976 5.976
Sc 3.984 3.984 3.984
```

=====

4.
This record from the Alexandria database describes crystalline Ce2NdSc at its relaxed geometry. The functional is PBE.

## Properties
As for the size of the total moment: 1.51 μB per formula unit. The value obtained for the formation energy is 123 meV/atom.

Geometry as extended XYZ:
```
4
Lattice="3.421 0.000 0.000 0.000 3.421 0.000 0.000 0.000 10.002" Properties=species:S:1:pos:R:3 pbc="T T T"
Ce 0.000 0.000 2.369
Ce 0.000 0.000 7.633
Nd 1.711 1.711 5.001
Sc 1.711 1.711 0.000
```